1.
DFT (PBE-GGA) results for Pm3ErS4 after structural relaxation.

a b c (Å): 6.9147 6.9597 7.9267
angles (deg): 90.00 90.00 109.35
Last column: nearest neighbours and their distance in Å.
Atoms (fractional coordinates):
1 Er 0.2500 0.0000 0.1265  6 S 2.74-2.77
2 Er 0.7500 0.0000 0.8735  6 S 2.74-2.77
3 S 0.5060 0.7559 0.6312  1 Er 2.74, 5 Pm 2.81-2.88
4 S 0.0004 0.2389 0.1192  2 Er 2.77, 4 Pm 2.83-2.90
5 S 0.4940 0.2441 0.3688  1 Er 2.74, 5 Pm 2.81-2.88
6 S 0.4996 0.7611 0.1192  2 Er 2.77, 4 Pm 2.83-2.90
7 S 0.9940 0.2441 0.6312  1 Er 2.74, 5 Pm 2.81-2.88
8 S 0.5004 0.2389 0.8808  2 Er 2.77, 4 Pm 2.83-2.90
9 S 0.9996 0.7611 0.8808  2 Er 2.77, 4 Pm 2.83-2.90
10 S 0.0060 0.7559 0.3688  1 Er 2.74, 5 Pm 2.81-2.88
11 Pm 0.2500 0.0000 0.6237  6 S 2.81-2.83
12 Pm 0.7500 0.5000 0.6229  6 S 2.83-2.89
13 Pm 0.7500 0.0000 0.3763  6 S 2.81-2.83
14 Pm 0.2500 0.5000 0.3771  6 S 2.83-2.89
15 Pm 0.2500 0.5000 0.8735  6 S 2.81-2.90
16 Pm 0.7500 0.5000 0.1265  6 S 2.81-2.90

Properties
Uncorrected formation energy = -2015 meV/atom
Energy = -6.4305 eV per atom
Offset from the most stable computed form = 0 meV per atom

***

2.
DFT (PBE-GGA) results for KZn2SbH2 after structural relaxation.

a b c (Å): 5.1180 7.7435 7.7427
angles (deg): 120.47 90.00 90.00
Last column: nearest neighbours and their distance in Å.
Atoms (fractional coordinates):
1 H 0.7500 0.3571 0.2778  2 Zn 1.77
2 H 0.2500 0.6429 0.7222  2 Zn 1.77
3 H 0.7500 0.7446 0.6358  2 Zn 1.76
4 H 0.2500 0.2554 0.3642  2 Zn 1.76
5 K 0.7500 0.3277 0.6702  6 H 3.16-3.42, 2 Sb 3.53
6 K 0.2500 0.6723 0.3298  6 H 3.16-3.42, 2 Sb 3.53
7 Zn 0.0002 0.1746 0.1824  2 H 1.76-1.77
8 Zn 0.9998 0.8254 0.8176  2 H 1.76-1.77
9 Zn 0.5001 0.8254 0.8176  2 H 1.76-1.77
10 Zn 0.4999 0.1746 0.1824  2 H 1.76-1.77
11 Sb 0.7500 0.8420 0.1384  4 Zn 2.74
12 Sb 0.2500 0.1580 0.8616  4 Zn 2.74

Properties
Energy = -2.5474 eV per atom

***

3.
DFT (PBE-GGA) results for In6Hg2Pb3 after structural relaxation.

a b c (Å): 5.4290 5.4290 12.5281
angles (deg): 77.49 77.49 60.00
Last column: nearest neighbours and their distance in Å.
Atoms (fractional coordinates):
1 In 0.0962 0.0962 0.7113  1 In 3.22, 3 Hg 3.29, 4 Pb 3.41-3.50
2 In 0.8154 0.8154 0.5538  4 In 3.22-3.40, 1 Pb 3.26, 3 Hg 3.26
3 In 0.9038 0.9038 0.2887  1 In 3.22, 3 Hg 3.29, 4 Pb 3.41-3.50
4 In 0.1846 0.1846 0.4462  4 In 3.22-3.40, 1 Pb 3.26, 3 Hg 3.26
5 In 0.6300 0.6300 0.1100  1 Hg 3.17, 7 Pb 3.24-3.49
6 In 0.3700 0.3700 0.8900  1 Hg 3.17, 7 Pb 3.24-3.49
7 Hg 0.4571 0.4571 0.6287  1 Hg 3.12, 7 In 3.17-3.29
8 Hg 0.5429 0.5429 0.3713  1 Hg 3.12, 7 In 3.17-3.29
9 Pb 0.7259 0.7259 0.8223  8 In 3.24-3.49
10 Pb 0.0000 0.0000 0.0000  8 In 3.41-3.50, 6 Pb 3.80
11 Pb 0.2741 0.2741 0.1777  8 In 3.24-3.49

Properties
Energy = -2.5341 eV per atom
Formation energy from the elements = 0.026 eV/atom
Offset from the most stable computed form = 9 meV per atom

***

4.
DFT (PBE-GGA) results for LiLa2HoSe5 after structural relaxation.

a b c (Å): 4.2028 8.9524 12.5394
angles (deg): 90.00 90.00 103.58
Last column: nearest neighbours and their distance in Å.
Atoms (fractional coordinates):
1 Se 0.9524 0.9049 0.5684  2 Li 2.44
2 Se 0.0476 0.0951 0.0684  2 Li 2.44
3 Se 0.6382 0.2764 0.4987  1 Li 2.71, 1 Ho 2.86
4 Se 0.2862 0.5725 0.6599  2 Ho 2.89, 3 La 3.12-3.13
5 Se 0.3618 0.7236 0.9987  1 Li 2.71, 1 Ho 2.86
6 Se 0.5005 0.0010 0.2821  1 Li 2.49
7 Se 0.3078 0.6157 0.3481  2 Ho 2.87
8 Se 0.6922 0.3843 0.8481  2 Ho 2.87
9 Se 0.4995 0.9990 0.7821  1 Li 2.49
10 Se 0.7138 0.4275 0.1599  2 Ho 2.89, 3 La 3.12-3.13
11 La 0.8743 0.7486 0.7990  8 Se 3.03-3.28
12 La 0.1077 0.2154 0.6851  8 Se 3.07-3.28
13 La 0.8923 0.7846 0.1851  8 Se 3.07-3.28
14 La 0.1257 0.2514 0.2990  8 Se 3.03-3.28
15 Li 0.4832 0.9664 0.4790  4 Se 2.44-2.71
16 Li 0.5168 0.0336 0.9790  4 Se 2.44-2.71
17 Ho 0.8024 0.6047 0.5037  6 Se 2.74-2.89
18 Ho 0.1976 0.3953 0.0037  6 Se 2.74-2.89

Properties
Uncorrected formation energy = -1853 meV/atom
Energy = -5.6047 eV per atom

***

5.
DFT (PBE-GGA) results for La2TaHg after structural relaxation.

a b c (Å): 6.7631 6.7631 6.7631
angles (deg): 150.94 132.04 57.06
Last column: nearest neighbours and their distance in Å.
Atoms (fractional coordinates):
1 La 0.7183 0.2183 0.5000  4 Hg 3.32, 2 Ta 3.33, 4 La 3.39-3.61
2 La 0.0215 0.0215 0.0000  4 Ta 3.27, 4 La 3.39-3.61, 2 Hg 3.54
3 Ta 0.4773 0.4773 0.0000  2 Hg 2.87
4 Hg 0.2828 0.7828 0.5000  2 Ta 2.87

Properties
Energy = -5.3316 eV per atom
Formation energy from the elements = 0.171 eV/atom

***

6.
DFT (PBE-GGA) results for Re2MoP after structural relaxation.

a b c (Å): 4.3560 4.3560 4.3560
angles (deg): 60.00 60.00 60.00
Last column: nearest neighbours and their distance in Å.
Atoms (fractional coordinates):
1 Re 0.2500 0.2500 0.2500  4 Mo 2.67, 4 Re 2.67
2 Re 0.0000 0.0000 0.0000  4 P 2.67, 4 Re 2.67
3 Mo 0.5000 0.5000 0.5000  4 P 2.67, 4 Re 2.67
4 P 0.7500 0.7500 0.7500  4 Mo 2.67, 4 Re 2.67

Properties
Energy = -9.9856 eV per atom
Formation energy from the elements = 0.299 eV/atom

***

7.
DFT (PBE-GGA) results for LuThAlCu after structural relaxation.

a b c (Å): 5.0712 5.0712 5.0712
angles (deg): 60.00 60.00 60.00
Last column: nearest neighbours and their distance in Å.
Atoms (fractional coordinates):
1 Th 0.0000 0.0000 0.0000  4 Cu 3.11, 4 Al 3.11
2 Al 0.7500 0.7500 0.7500  4 Th 3.11, 4 Lu 3.11
3 Cu 0.2500 0.2500 0.2500  4 Lu 3.11, 4 Th 3.11
4 Lu 0.5000 0.5000 0.5000  4 Al 3.11, 4 Cu 3.11

Properties
Energy = -5.1377 eV per atom
Formation energy from the elements = -0.193 eV/atom

***

8.
DFT (PBE-GGA) results for Y2CuSe after structural relaxation.

a b c (Å): 7.6789 7.6789 7.6789
angles (deg): 152.62 151.77 39.73
Last column: nearest neighbours and their distance in Å.
Atoms (fractional coordinates):
1 Y 0.7989 0.2989 0.5000  4 Se 2.94, 2 Cu 2.94
2 Y 0.0393 0.0393 0.0000  4 Cu 2.87, 2 Se 3.01
3 Se 0.2058 0.7058 0.5000  6 Y 2.94-3.01
4 Cu 0.4560 0.4560 0.0000  6 Y 2.87-2.94

Properties
Uncorrected formation energy = -772 meV/atom
Energy = -5.8991 eV per atom
Offset from the most stable computed form = 253 meV per atom

***

9.
DFT (PBE-GGA) results for Sm6Dy8Tl after structural relaxation.

a b c (Å): 6.3832 9.4188 9.4188
angles (deg): 120.00 90.00 90.00
Last column: nearest neighbours and their distance in Å.
Atoms (fractional coordinates):
1 Dy 0.8135 0.7356 0.7747  1 Tl 3.07, 3 Dy 3.33-3.40, 1 Sm 3.37
2 Dy 0.8313 0.3333 0.6667  3 Dy 3.40, 6 Sm 3.70-3.79
3 Dy 0.8135 0.2253 0.9608  1 Tl 3.07, 3 Dy 3.33-3.40, 1 Sm 3.37
4 Dy 0.1865 0.7747 0.0392  1 Tl 3.07, 3 Dy 3.33-3.40, 1 Sm 3.37
5 Dy 0.1865 0.2644 0.2253  1 Tl 3.07, 3 Dy 3.33-3.40, 1 Sm 3.37
6 Dy 0.8135 0.0392 0.2644  1 Tl 3.07, 3 Dy 3.33-3.40, 1 Sm 3.37
7 Dy 0.1865 0.9608 0.7356  1 Tl 3.07, 3 Dy 3.33-3.40, 1 Sm 3.37
8 Dy 0.1687 0.6667 0.3333  3 Dy 3.40, 6 Sm 3.70-3.79
9 Sm 0.6816 0.6398 0.0918  1 Sm 3.28, 5 Dy 3.37-3.62
10 Sm 0.3184 0.0918 0.4520  1 Sm 3.28, 5 Dy 3.37-3.62
11 Sm 0.3184 0.3602 0.9082  1 Sm 3.28, 5 Dy 3.37-3.62
12 Sm 0.6816 0.4520 0.3602  1 Sm 3.28, 5 Dy 3.37-3.62
13 Sm 0.6816 0.9082 0.5480  1 Sm 3.28, 5 Dy 3.37-3.62
14 Sm 0.3184 0.5480 0.6398  1 Sm 3.28, 5 Dy 3.37-3.62
15 Tl 0.5000 0.0000 0.0000  6 Dy 3.07

Properties
Energy = -4.4174 eV per atom
Formation energy from the elements = 0.083 eV/atom

***

10.
DFT (PBE-GGA) results for NaCo3B after structural relaxation.

a b c (Å): 3.9091 3.9091 3.9091
angles (deg): 90.00 90.00 90.00
Last column: nearest neighbours and their distance in Å.
Atoms (fractional coordinates):
1 Co 0.0000 0.0000 0.5000  2 B 1.95
2 Co 0.0000 0.5000 0.0000  2 B 1.95
3 Co 0.5000 0.0000 0.0000  2 B 1.95
4 Na 0.5000 0.5000 0.5000  12 Co 2.76
5 B 0.0000 0.0000 0.0000  6 Co 1.95

Properties
Energy = -5.5229 eV per atom
Formation energy from the elements = 0.340 eV/atom

***

11.
DFT (PBE-GGA) results for Tl2PAu after structural relaxation.

a b c (Å): 5.1118 5.1118 5.1118
angles (deg): 60.00 60.00 60.00
Last column: nearest neighbours and their distance in Å.
Atoms (fractional coordinates):
1 Tl 0.7500 0.7500 0.7500  4 P 3.13, 4 Au 3.13
2 Tl 0.2500 0.2500 0.2500  4 Au 3.13, 4 P 3.13
3 P 0.0000 0.0000 0.0000  8 Tl 3.13
4 Au 0.5000 0.5000 0.5000  8 Tl 3.13

Properties
Energy = -3.0193 eV per atom
Formation energy from the elements = 0.336 eV/atom
Offset from the most stable computed form = 371 meV per atom

***

12.
DFT (PBE-GGA) results for HgSb after structural relaxation.

a b c (Å): 12.0327 12.0327 4.1160
angles (deg): 90.00 90.00 120.00
Last column: nearest neighbours and their distance in Å.
Atoms (fractional coordinates):
1 Hg 0.7903 0.5888 0.2500  3 Sb 2.84-2.98
2 Hg 0.7984 0.2097 0.2500  3 Sb 2.84-2.98
3 Hg 0.2097 0.4112 0.7500  3 Sb 2.84-2.98
4 Hg 0.4112 0.2016 0.2500  3 Sb 2.84-2.98
5 Hg 0.2016 0.7903 0.7500  3 Sb 2.84-2.98
6 Hg 0.5888 0.7984 0.7500  3 Sb 2.84-2.98
7 Sb 0.6028 0.5702 0.7500  3 Hg 2.84-2.98, 2 Sb 3.01
8 Sb 0.3972 0.4298 0.2500  3 Hg 2.84-2.98, 2 Sb 3.01
9 Sb 0.0327 0.6028 0.2500  3 Hg 2.84-2.98, 2 Sb 3.01
10 Sb 0.4298 0.0327 0.7500  3 Hg 2.84-2.98, 2 Sb 3.01
11 Sb 0.9673 0.3972 0.7500  3 Hg 2.84-2.98, 2 Sb 3.01
12 Sb 0.5702 0.9673 0.2500  3 Hg 2.84-2.98, 2 Sb 3.01

Properties
Uncorrected formation energy = 147 meV/atom
Energy = -2.0652 eV per atom
Offset from the most stable computed form = 118 meV per atom

***

| no. | M_tot (μB per formula unit) |
| --- | --- |
| 1 | 0.0 |
| 2 | 0.0 |
| 3 | 0.0 |
| 4 | 0.0 |
| 5 | 0.0 |
| 6 | 0.0 |
| 7 | 0.0 |
| 8 | 0.0 |
| 9 | 0.0 |
| 10 | 2.9 |
| 11 | 0.0 |
| 12 | 0.0 |